No. 1
A relaxed structure of Ca4CrN4. Source: Alexandria via LeMat-Bulk, functional PBE-GGA.

```
data_Ca4CrN4
_chemical_formula_sum 'Ca8 Cr2 N8'
_symmetry_space_group_name_H-M 'P 1'
_symmetry_Int_Tables_number 1
_symmetry_space_group_name_Hall 'P 1'
_cell_length_a 5.916
_cell_length_b 6.039
_cell_length_c 8.759
_cell_angle_alpha 72.29
_cell_angle_beta 79.78
_cell_angle_gamma 68.25
loop_
_atom_site_label
_atom_site_type_symbol
_atom_site_fract_x
_atom_site_fract_y
_atom_site_fract_z
_atom_site_occupancy
Ca1 Ca 0.268 0.514 0.429 1
Ca2 Ca 0.732 0.486 0.571 1
Ca3 Ca 0.266 0.783 0.026 1
Ca4 Ca 0.214 0.431 0.830 1
Ca5 Ca 0.734 0.217 0.974 1
Ca6 Ca 0.786 0.569 0.170 1
Ca7 Ca 0.227 0.960 0.615 1
Ca8 Ca 0.773 0.040 0.385 1
Cr1 Cr 0.282 0.152 0.246 1
Cr2 Cr 0.718 0.848 0.754 1
N1 N 0.472 0.840 0.351 1
N2 N 0.896 0.823 0.916 1
N3 N 0.471 0.360 0.196 1
N4 N 0.528 0.160 0.649 1
N5 N 0.034 0.289 0.388 1
N6 N 0.104 0.177 0.084 1
N7 N 0.966 0.711 0.612 1
N8 N 0.529 0.640 0.804 1
```

No. 2
A relaxed structure of CaCrN2. Source: Alexandria via LeMat-Bulk, functional PBE-GGA.

```
data_CaCrN2
_chemical_formula_sum 'Ca2 Cr2 N4'
_symmetry_space_group_name_H-M 'P 1'
_symmetry_Int_Tables_number 1
_symmetry_space_group_name_Hall 'P 1'
_cell_length_a 5.376
_cell_length_b 5.376
_cell_length_c 5.308
_cell_angle_alpha 59.58
_cell_angle_beta 59.58
_cell_angle_gamma 90.00
loop_
_atom_site_label
_atom_site_type_symbol
_atom_site_fract_x
_atom_site_fract_y
_atom_site_fract_z
_atom_site_occupancy
N1 N 0.041 0.625 0.250 1
N2 N 0.709 0.125 0.250 1
N3 N 0.375 0.291 0.750 1
N4 N 0.875 0.959 0.750 1
Ca1 Ca 0.250 0.750 0.500 1
Ca2 Ca 0.500 0.500 0.000 1
Cr1 Cr 0.750 0.250 0.500 1
Cr2 Cr 0.000 0.000 0.000 1
```

No. 3
A relaxed structure of Ca3CrN3. Source: Alexandria via LeMat-Bulk, functional PBE-GGA.

```
data_Ca3CrN3
_chemical_formula_sum 'Ca6 Cr2 N6'
_symmetry_space_group_name_H-M 'P 1'
_symmetry_Int_Tables_number 1
_symmetry_space_group_name_Hall 'P 1'
_cell_length_a 6.648
_cell_length_b 6.648
_cell_length_c 5.059
_cell_angle_alpha 90.00
_cell_angle_beta 90.00
_cell_angle_gamma 101.23
loop_
_atom_site_label
_atom_site_type_symbol
_atom_site_fract_x
_atom_site_fract_y
_atom_site_fract_z
_atom_site_occupancy
Ca1 Ca 0.831 0.596 0.750 1
Ca2 Ca 0.596 0.831 0.250 1
Ca3 Ca 0.404 0.169 0.750 1
Ca4 Ca 0.169 0.404 0.250 1
Ca5 Ca 0.893 0.107 0.750 1
Ca6 Ca 0.107 0.893 0.250 1
N1 N 0.182 0.434 0.750 1
N2 N 0.434 0.182 0.250 1
N3 N 0.818 0.566 0.250 1
N4 N 0.873 0.127 0.250 1
N5 N 0.566 0.818 0.750 1
N6 N 0.127 0.873 0.750 1
Cr1 Cr 0.304 0.696 0.750 1
Cr2 Cr 0.696 0.304 0.250 1
```

No. 4
A relaxed structure of CaCrN2. Source: Alexandria via LeMat-Bulk, functional PBE-GGA.

```
data_CaCrN2
_chemical_formula_sum 'Ca4 Cr4 N8'
_symmetry_space_group_name_H-M 'P 1'
_symmetry_Int_Tables_number 1
_symmetry_space_group_name_Hall 'P 1'
_cell_length_a 5.745
_cell_length_b 6.158
_cell_length_c 7.022
_cell_angle_alpha 90.00
_cell_angle_beta 90.00
_cell_angle_gamma 117.80
loop_
_atom_site_label
_atom_site_type_symbol
_atom_site_fract_x
_atom_site_fract_y
_atom_site_fract_z
_atom_site_occupancy
N1 N 0.394 0.787 0.617 1
N2 N 0.606 0.213 0.383 1
N3 N 0.876 0.252 0.750 1
N4 N 0.376 0.252 0.750 1
N5 N 0.894 0.787 0.883 1
N6 N 0.124 0.748 0.250 1
N7 N 0.624 0.748 0.250 1
N8 N 0.106 0.213 0.117 1
Ca1 Ca 0.167 0.334 0.439 1
Ca2 Ca 0.333 0.666 0.939 1
Ca3 Ca 0.833 0.666 0.561 1
Ca4 Ca 0.667 0.334 0.061 1
Cr1 Cr 0.436 0.871 0.363 1
Cr2 Cr 0.564 0.129 0.637 1
Cr3 Cr 0.064 0.129 0.863 1
Cr4 Cr 0.936 0.871 0.137 1
```

No. 5
A relaxed structure of Ca4CrN4. Source: Alexandria via LeMat-Bulk, functional PBE-GGA.

```
data_Ca4CrN4
_chemical_formula_sum 'Ca8 Cr2 N8'
_symmetry_space_group_name_H-M 'P 1'
_symmetry_Int_Tables_number 1
_symmetry_space_group_name_Hall 'P 1'
_cell_length_a 5.562
_cell_length_b 6.935
_cell_length_c 6.935
_cell_angle_alpha 90.00
_cell_angle_beta 90.00
_cell_angle_gamma 90.00
loop_
_atom_site_label
_atom_site_type_symbol
_atom_site_fract_x
_atom_site_fract_y
_atom_site_fract_z
_atom_site_occupancy
N1 N 0.205 0.000 0.781 1
N2 N 0.295 0.500 0.719 1
N3 N 0.705 0.719 0.500 1
N4 N 0.295 0.500 0.281 1
N5 N 0.705 0.281 0.500 1
N6 N 0.795 0.219 0.000 1
N7 N 0.795 0.781 0.000 1
N8 N 0.205 0.000 0.219 1
Ca1 Ca 0.142 0.779 0.500 1
Ca2 Ca 0.858 0.500 0.221 1
Ca3 Ca 0.642 0.000 0.279 1
Ca4 Ca 0.358 0.721 0.000 1
Ca5 Ca 0.358 0.279 0.000 1
Ca6 Ca 0.642 0.000 0.721 1
Ca7 Ca 0.858 0.500 0.779 1
Ca8 Ca 0.142 0.221 0.500 1
Cr1 Cr 0.000 0.000 0.000 1
Cr2 Cr 0.500 0.500 0.500 1
```

No. 6
A relaxed structure of Ca3Cr2N6. Source: Alexandria via LeMat-Bulk, functional PBE-GGA.

```
data_Ca3Cr2N6
_chemical_formula_sum 'Ca3 Cr2 N6'
_symmetry_space_group_name_H-M 'P 1'
_symmetry_Int_Tables_number 1
_symmetry_space_group_name_Hall 'P 1'
_cell_length_a 3.771
_cell_length_b 6.071
_cell_length_c 8.111
_cell_angle_alpha 60.96
_cell_angle_beta 90.00
_cell_angle_gamma 90.00
loop_
_atom_site_label
_atom_site_type_symbol
_atom_site_fract_x
_atom_site_fract_y
_atom_site_fract_z
_atom_site_occupancy
N1 N 0.500 0.563 0.590 1
N2 N 0.500 0.852 0.153 1
N3 N 0.500 0.327 0.287 1
N4 N 0.000 0.168 0.807 1
N5 N 0.000 0.539 0.407 1
N6 N 0.000 0.616 0.810 1
Ca1 Ca 0.500 0.288 0.982 1
Ca2 Ca 0.000 0.092 0.505 1
Ca3 Ca 0.000 0.742 0.037 1
Cr1 Cr 0.000 0.479 0.666 1
Cr2 Cr 0.500 0.570 0.350 1
```

No. 7
A relaxed structure of Ca8Cr3N8. Source: Alexandria via LeMat-Bulk, functional PBE-GGA.

```
data_Ca8Cr3N8
_chemical_formula_sum 'Ca8 Cr3 N8'
_symmetry_space_group_name_H-M 'P 1'
_symmetry_Int_Tables_number 1
_symmetry_space_group_name_Hall 'P 1'
_cell_length_a 5.014
_cell_length_b 7.231
_cell_length_c 9.322
_cell_angle_alpha 106.16
_cell_angle_beta 105.60
_cell_angle_gamma 90.00
loop_
_atom_site_label
_atom_site_type_symbol
_atom_site_fract_x
_atom_site_fract_y
_atom_site_fract_z
_atom_site_occupancy
Cr1 Cr 0.500 0.500 0.000 1
Cr2 Cr 0.188 0.205 0.376 1
Cr3 Cr 0.812 0.795 0.624 1
Ca1 Ca 0.971 0.740 0.941 1
Ca2 Ca 0.667 0.467 0.334 1
Ca3 Ca 0.404 0.043 0.807 1
Ca4 Ca 0.596 0.957 0.193 1
Ca5 Ca 0.196 0.800 0.392 1
Ca6 Ca 0.029 0.260 0.059 1
Ca7 Ca 0.333 0.533 0.666 1
Ca8 Ca 0.804 0.200 0.608 1
N1 N 0.897 0.995 0.793 1
N2 N 0.103 0.005 0.207 1
N3 N 0.280 0.172 0.561 1
N4 N 0.179 0.435 0.358 1
N5 N 0.472 0.718 0.945 1
N6 N 0.720 0.828 0.439 1
N7 N 0.821 0.565 0.642 1
N8 N 0.528 0.282 0.055 1
```

No. 8
A relaxed structure of Ca7CrN6. Source: Alexandria via LeMat-Bulk, functional PBE-GGA.

```
data_Ca7CrN6
_chemical_formula_sum 'Ca28 Cr4 N24'
_symmetry_space_group_name_H-M 'P 1'
_symmetry_Int_Tables_number 1
_symmetry_space_group_name_Hall 'P 1'
_cell_length_a 6.248
_cell_length_b 10.996
_cell_length_c 13.021
_cell_angle_alpha 90.00
_cell_angle_beta 90.00
_cell_angle_gamma 90.00
loop_
_atom_site_label
_atom_site_type_symbol
_atom_site_fract_x
_atom_site_fract_y
_atom_site_fract_z
_atom_site_occupancy
Ca1 Ca 0.389 0.707 0.120 1
Ca2 Ca 0.611 0.293 0.880 1
Ca3 Ca 0.232 0.537 0.522 1
Ca4 Ca 0.852 0.228 0.626 1
Ca5 Ca 0.352 0.728 0.874 1
Ca6 Ca 0.111 0.207 0.880 1
Ca7 Ca 0.732 0.963 0.522 1
Ca8 Ca 0.768 0.537 0.022 1
Ca9 Ca 0.058 0.500 0.250 1
Ca10 Ca 0.732 0.037 0.978 1
Ca11 Ca 0.942 0.500 0.750 1
Ca12 Ca 0.268 0.963 0.022 1
Ca13 Ca 0.768 0.463 0.478 1
Ca14 Ca 0.148 0.772 0.374 1
Ca15 Ca 0.389 0.293 0.380 1
Ca16 Ca 0.442 0.000 0.750 1
Ca17 Ca 0.648 0.728 0.374 1
Ca18 Ca 0.852 0.772 0.874 1
Ca19 Ca 0.268 0.037 0.478 1
Ca20 Ca 0.558 0.000 0.250 1
Ca21 Ca 0.889 0.207 0.380 1
Ca22 Ca 0.889 0.793 0.120 1
Ca23 Ca 0.148 0.228 0.126 1
Ca24 Ca 0.611 0.707 0.620 1
Ca25 Ca 0.648 0.272 0.126 1
Ca26 Ca 0.232 0.463 0.978 1
Ca27 Ca 0.352 0.272 0.626 1
Ca28 Ca 0.111 0.793 0.620 1
N1 N 0.410 0.166 0.004 1
N2 N 0.910 0.666 0.496 1
N3 N 0.763 0.127 0.793 1
N4 N 0.237 0.127 0.293 1
N5 N 0.910 0.334 0.004 1
N6 N 0.763 0.873 0.707 1
N7 N 0.590 0.166 0.504 1
N8 N 0.105 0.050 0.643 1
N9 N 0.737 0.373 0.293 1
N10 N 0.237 0.873 0.207 1
N11 N 0.090 0.666 0.996 1
N12 N 0.263 0.627 0.707 1
N13 N 0.090 0.334 0.504 1
N14 N 0.737 0.627 0.207 1
N15 N 0.590 0.834 0.996 1
N16 N 0.895 0.050 0.143 1
N17 N 0.895 0.950 0.357 1
N18 N 0.263 0.373 0.793 1
N19 N 0.605 0.450 0.643 1
N20 N 0.410 0.834 0.496 1
N21 N 0.395 0.450 0.143 1
N22 N 0.105 0.950 0.857 1
N23 N 0.395 0.550 0.357 1
N24 N 0.605 0.550 0.857 1
Cr1 Cr 0.936 0.000 0.750 1
Cr2 Cr 0.436 0.500 0.750 1
Cr3 Cr 0.564 0.500 0.250 1
Cr4 Cr 0.064 0.000 0.250 1
```

No. 9
A relaxed structure of Ca3CrN. Source: Alexandria via LeMat-Bulk, functional PBE-GGA.

```
data_Ca3CrN
_chemical_formula_sum 'Ca3 Cr1 N1'
_symmetry_space_group_name_H-M 'P 1'
_symmetry_Int_Tables_number 1
_symmetry_space_group_name_Hall 'P 1'
_cell_length_a 4.876
_cell_length_b 4.876
_cell_length_c 4.876
_cell_angle_alpha 90.00
_cell_angle_beta 90.00
_cell_angle_gamma 90.00
loop_
_atom_site_label
_atom_site_type_symbol
_atom_site_fract_x
_atom_site_fract_y
_atom_site_fract_z
_atom_site_occupancy
Cr1 Cr 0.500 0.500 0.500 1
Ca1 Ca 0.000 0.500 0.000 1
Ca2 Ca 0.000 0.000 0.500 1
Ca3 Ca 0.500 0.000 0.000 1
N1 N 0.000 0.000 0.000 1
```

No. 10
A relaxed structure of CaCr2N. Source: Alexandria via LeMat-Bulk, functional PBE-GGA.

```
data_CaCr2N
_chemical_formula_sum 'Ca2 Cr4 N2'
_symmetry_space_group_name_H-M 'P 1'
_symmetry_Int_Tables_number 1
_symmetry_space_group_name_Hall 'P 1'
_cell_length_a 5.997
_cell_length_b 5.997
_cell_length_c 5.995
_cell_angle_alpha 59.99
_cell_angle_beta 59.99
_cell_angle_gamma 90.00
loop_
_atom_site_label
_atom_site_type_symbol
_atom_site_fract_x
_atom_site_fract_y
_atom_site_fract_z
_atom_site_occupancy
Cr1 Cr 0.375 0.125 0.250 1
Cr2 Cr 0.375 0.625 0.750 1
Cr3 Cr 0.875 0.625 0.750 1
Cr4 Cr 0.375 0.625 0.250 1
N1 N 0.250 0.750 0.500 1
N2 N 0.500 0.500 0.000 1
Ca1 Ca 0.000 0.000 0.000 1
Ca2 Ca 0.750 0.250 0.500 1
```

No. 11
A relaxed structure of Ca3CrN4. Source: Alexandria via LeMat-Bulk, functional PBE-GGA.

```
data_Ca3CrN4
_chemical_formula_sum 'Ca12 Cr4 N16'
_symmetry_space_group_name_H-M 'P 1'
_symmetry_Int_Tables_number 1
_symmetry_space_group_name_Hall 'P 1'
_cell_length_a 7.062
_cell_length_b 7.461
_cell_length_c 8.417
_cell_angle_alpha 90.00
_cell_angle_beta 90.00
_cell_angle_gamma 90.00
loop_
_atom_site_label
_atom_site_type_symbol
_atom_site_fract_x
_atom_site_fract_y
_atom_site_fract_z
_atom_site_occupancy
Cr1 Cr 0.287 0.008 0.750 1
Cr2 Cr 0.213 0.508 0.250 1
Cr3 Cr 0.787 0.492 0.750 1
Cr4 Cr 0.713 0.992 0.250 1
Ca1 Ca 0.855 0.946 0.750 1
Ca2 Ca 0.941 0.720 0.045 1
Ca3 Ca 0.441 0.780 0.455 1
Ca4 Ca 0.145 0.054 0.250 1
Ca5 Ca 0.559 0.220 0.545 1
Ca6 Ca 0.059 0.280 0.955 1
Ca7 Ca 0.059 0.280 0.545 1
Ca8 Ca 0.441 0.780 0.045 1
Ca9 Ca 0.355 0.554 0.750 1
Ca10 Ca 0.645 0.446 0.250 1
Ca11 Ca 0.559 0.220 0.955 1
Ca12 Ca 0.941 0.720 0.455 1
N1 N 0.668 0.553 0.577 1
N2 N 0.693 0.755 0.250 1
N3 N 0.014 0.582 0.750 1
N4 N 0.514 0.918 0.750 1
N5 N 0.332 0.447 0.423 1
N6 N 0.486 0.082 0.250 1
N7 N 0.832 0.053 0.077 1
N8 N 0.832 0.053 0.423 1
N9 N 0.193 0.745 0.250 1
N10 N 0.668 0.553 0.923 1
N11 N 0.332 0.447 0.077 1
N12 N 0.168 0.947 0.923 1
N13 N 0.986 0.418 0.250 1
N14 N 0.807 0.255 0.750 1
N15 N 0.307 0.245 0.750 1
N16 N 0.168 0.947 0.577 1
```

No. 12
A relaxed structure of Ca5Cr2N5. Source: Alexandria via LeMat-Bulk, functional PBE-GGA.

```
data_Ca5Cr2N5
_chemical_formula_sum 'Ca5 Cr2 N5'
_symmetry_space_group_name_H-M 'P 1'
_symmetry_Int_Tables_number 1
_symmetry_space_group_name_Hall 'P 1'
_cell_length_a 5.250
_cell_length_b 6.256
_cell_length_c 6.256
_cell_angle_alpha 79.86
_cell_angle_beta 65.19
_cell_angle_gamma 65.19
loop_
_atom_site_label
_atom_site_type_symbol
_atom_site_fract_x
_atom_site_fract_y
_atom_site_fract_z
_atom_site_occupancy
Cr1 Cr 0.749 0.500 0.500 1
Cr2 Cr 0.249 0.500 0.500 1
Ca1 Ca 0.885 0.000 0.000 1
Ca2 Ca 0.529 0.609 0.000 1
Ca3 Ca 0.139 0.000 0.391 1
Ca4 Ca 0.529 0.000 0.609 1
Ca5 Ca 0.139 0.391 0.000 1
N1 N 0.447 0.000 0.000 1
N2 N 0.007 0.319 0.681 1
N3 N 0.325 0.681 0.681 1
N4 N 0.688 0.319 0.319 1
N5 N 0.007 0.681 0.319 1
```

| no. | ΔE_f (raw) (eV per atom) |
| --- | --- |
| 1 | -0.87 |
| 2 | -0.73 |
| 3 | -0.93 |
| 4 | -0.79 |
| 5 | -0.74 |
| 6 | -0.60 |
| 7 | -0.87 |
| 8 | -0.84 |
| 9 | 0.40 |
| 10 | 0.06 |
| 11 | -0.95 |
| 12 | -0.67 |